a.
A PBEsol-optimized structure of Cr2CuW, computed with meta-GGA SCAN.

Computed properties:
* space-group type: Pmm2
* total magnetic moment: 0.00 μB per cell

The structure in extended XYZ format:
```
4
Lattice="2.479 0.000 0.000 0.000 3.931 0.000 0.000 0.000 5.163" Properties=species:S:1:pos:R:3 pbc="T T T"
Cr 0.000 0.000 0.000
Cr 1.239 1.965 1.210
Cu 0.000 0.000 2.472
W 1.239 1.965 3.809
```

=====

b.
A PBEsol-optimized structure of Cr2CuW, computed with meta-GGA SCAN.

Computed properties:
* space-group type: P4/mmm
* total magnetic moment: 0.00 μB per cell

The structure in extended XYZ format:
```
4
Lattice="2.498 0.000 0.000 0.000 2.498 0.000 0.000 0.000 8.117" Properties=species:S:1:pos:R:3 pbc="T T T"
Cr 0.000 0.000 1.876
Cr 0.000 0.000 6.241
Cu 1.249 1.249 0.000
W 1.249 1.249 4.059
```

=====

Most stable structure - a; separation to the second - 0.017 eV/atom.

=====

a.
A PBEsol-optimized structure of YCr2Cu, computed with meta-GGA SCAN.

Computed properties:
* space-group type: P4/mmm
* total magnetic moment: 7.73 μB per cell

The structure in extended XYZ format:
```
4
Lattice="4.031 0.000 0.000 0.000 4.031 0.000 0.000 0.000 4.174" Properties=species:S:1:pos:R:3 pbc="T T T"
Y 0.000 0.000 0.000
Cr 0.000 2.016 2.087
Cr 2.016 0.000 2.087
Cu 2.016 2.016 0.000
```

=====

b.
A PBEsol-optimized structure of YCr2Cu, computed with meta-GGA SCAN.

Computed properties:
* space-group type: P2/m
* total magnetic moment: 0.00 μB per cell

The structure in extended XYZ format:
```
4
Lattice="3.363 0.000 0.000 0.000 4.638 0.000 -0.436 0.000 4.246" Properties=species:S:1:pos:R:3 pbc="T T T"
Y 0.000 0.000 0.000
Cr 1.057 2.319 3.304
Cr 1.870 2.319 0.942
Cu 1.463 0.000 2.123
```

=====

c.
A PBEsol-optimized structure of YCr2Cu, computed with meta-GGA SCAN.

Computed properties:
* space-group type: Fm-3m
* total magnetic moment: 32.77 μB per cell

The structure in extended XYZ format:
```
16
Lattice="6.461 0.000 0.000 0.000 6.461 0.000 0.000 0.000 6.461" Properties=species:S:1:pos:R:3 pbc="T T T"
Y 0.000 0.000 0.000
Y 0.000 3.230 3.230
Y 3.230 0.000 3.230
Y 3.230 3.230 0.000
Cr 1.615 1.615 1.615
Cr 1.615 1.615 4.846
Cr 1.615 4.846 1.615
Cr 1.615 4.846 4.846
Cr 4.846 1.615 1.615
Cr 4.846 1.615 4.846
Cr 4.846 4.846 1.615
Cr 4.846 4.846 4.846
Cu 0.000 0.000 3.230
Cu 0.000 3.230 0.000
Cu 3.230 0.000 0.000
Cu 3.230 3.230 3.230
```

=====

Most stable structure - a; separation to the second - 0.028 eV/atom.